Record 1
# YBN2F, optimized geometry, DFT PBE
# ΔE to the lowest computed polymorph = 8.19 eV/f.u.
# uncorrected formation energy = 387 kJ/mol of formula units
# total DFT energy (no corrections) = -5.53 eV/atom
# magnetic moment = 3.00 μB per cell
# DOS at the Fermi energy = 3.43 states/eV/f.u.
data_YBN2F
_symmetry_space_group_name_H-M 'P 1'
_symmetry_Int_Tables_number 1
_cell_length_a 4.641
_cell_length_b 4.641
_cell_length_c 4.291
_cell_angle_alpha 90.00
_cell_angle_beta 90.00
_cell_angle_gamma 90.00
loop_
_symmetry_equiv_pos_as_xyz
'x,y,z'
loop_
_atom_site_label
_atom_site_fract_x
_atom_site_fract_y
_atom_site_fract_z
_atom_site_occupancy
Y1 0.000 0.000 0.000 1
B1 0.500 0.500 0.500 1
F1 0.000 0.000 0.500 1
N1 0.500 0.000 0.000 1
N2 0.000 0.500 0.000 1


Record 2
# BaTlBiPb, optimized geometry, DFT PBE
# ΔE to the lowest computed polymorph = 0.33 eV/f.u.
# total DFT energy (no corrections) = -3.30 eV/atom
# energy relative to the elements = -0.3333 eV/atom
# magnetic moment = 0.00 μB per cell
# DOS at the Fermi energy = 2.71 states/eV/f.u.
data_BaTlBiPb
_symmetry_space_group_name_H-M 'P 1'
_symmetry_Int_Tables_number 1
_cell_length_a 5.849
_cell_length_b 5.849
_cell_length_c 5.849
_cell_angle_alpha 60.00
_cell_angle_beta 60.00
_cell_angle_gamma 60.00
loop_
_symmetry_equiv_pos_as_xyz
'x,y,z'
loop_
_atom_site_label
_atom_site_fract_x
_atom_site_fract_y
_atom_site_fract_z
_atom_site_occupancy
Tl1 0.750 0.750 0.750 1
Bi1 0.250 0.250 0.250 1
Pb1 0.500 0.500 0.500 1
Ba1 0.000 0.000 0.000 1